VASP calculation (PBE) on PmEuCu after structural relaxation.

Cell and atoms, written as POSCAR:
```
PmEuCu
1.0
0.000 3.558 3.558
3.558 0.000 3.558
3.558 3.558 0.000
Pm Eu Cu
1 1 1
Cartesian
0.000 0.000 0.000
3.558 3.558 3.558
1.779 1.779 1.779
```

**Density of states at the Fermi level**: 4.5 states/eV/cell
**Energy above the most stable polymorph in this dataset**: 171 meV/atom
**Space-group type**: F-43m
**Total DFT energy (no corrections)**: -18.8 eV/f.u.
**Energy of formation**: 0.112 eV per atom

***

VASP calculation (PBE) on CrCuRuBr2 after structural relaxation.

Cell and atoms, written as POSCAR:
```
CrCuRuBr2
1.0
4.643 0.000 0.000
0.000 4.643 0.000
0.000 0.000 4.689
Cr Cu Ru Br
1 1 1 2
Cartesian
0.000 0.000 0.000
0.000 0.000 2.345
2.321 2.321 2.345
0.000 2.321 0.000
2.321 0.000 0.000
```

**Density of states at the Fermi level**: 14.4 states/eV/cell
**Energy above the most stable polymorph in this dataset**: 0 meV/atom
**Formation energy without anion corrections**: 1.44 eV/atom
**Space-group type**: P4/mmm
**Total DFT energy (no corrections)**: -19.2 eV/f.u.